Here is a geometry-optimized Er6TmPb2 structure from Alexandria via LeMat-Bulk. Energies are from PBE.

Summary:
ρ, g/cm³: 10.1
ΔE_f, meV/atom: -169
Total magnetic moment, μB per atom: 0.000
Crystal system: monoclinic

Cell: 15.470 11.435 5.988 Å, 90.00 98.12 90.00°
Space group C2/c (No. 15)
Symmetry-distinct sites (fractional):
Er 0.058 0.119 0.023 (multiplicity 8)
Er 0.120 0.366 0.307 (multiplicity 8)
Er 0.229 0.372 0.843 (multiplicity 8)
Tm 0.000 0.388 0.750 (multiplicity 4)
Pb 0.157 0.128 0.586 (multiplicity 8)

***

Here is a geometry-optimized YTaW2 structure from Alexandria via LeMat-Bulk. Energies are from PBE.

Summary:
ρ, g/cm³: 13.4
ΔE_f, meV/atom: 307
Total magnetic moment, μB per atom: 0.000
Crystal system: tetragonal

Cell: 3.229 3.229 7.580 Å, 90.00 90.00 90.00°
Space group P4mm (No. 99)
Symmetry-distinct sites (fractional):
Y 0.000 0.000 0.000 (multiplicity 1)
Ta 0.500 0.500 0.309 (multiplicity 1)
W 0.000 0.000 0.522 (multiplicity 1)
W 0.500 0.500 0.711 (multiplicity 1)

***

> Among the records above, which one has the lowest ΔE_f?

Er6TmPb2